Entry 1:
First-principles (PBE) data for HoGaSiPd2 after structural relaxation, as listed in OQMD via LeMat-Bulk.

```
HoGaSiPd2
1.0
4.150 0.000 0.000
0.000 4.150 0.000
0.000 0.000 10.395
Ho Ga Si Pd
2 2 2 4
Direct
0.250 0.250 0.248
0.750 0.750 0.752
0.250 0.750 0.500
0.750 0.250 0.500
0.250 0.250 0.872
0.750 0.750 0.128
0.250 0.250 0.646
0.250 0.750 0.000
0.750 0.250 0.000
0.750 0.750 0.354
```

Total magnetic moment (μB/f.u.): 0.007
Final energy (eV per atom): -5.55
SG: P4/nmm (129)

=====

Entry 2:
First-principles (PBE) data for LiZr2Ge after structural relaxation, as listed in OQMD via LeMat-Bulk.

```
LiZr2Ge
1.0
6.793 0.000 0.000
0.000 6.793 0.000
0.000 0.000 6.793
Li Zr Ge
4 8 4
Direct
0.000 0.000 0.000
0.000 0.500 0.500
0.500 0.000 0.500
0.500 0.500 0.000
0.000 0.000 0.500
0.000 0.500 0.000
0.250 0.250 0.250
0.250 0.750 0.750
0.500 0.000 0.000
0.500 0.500 0.500
0.750 0.250 0.750
0.750 0.750 0.250
0.250 0.250 0.750
0.250 0.750 0.250
0.750 0.250 0.250
0.750 0.750 0.750
```

Total magnetic moment (μB/f.u.): 2.735
Final energy (eV per atom): -5.79
SG: F-43m (216)

=====

Entry 3:
First-principles (PBE) data for Li4ZnIn2Pt after structural relaxation, as listed in OQMD via LeMat-Bulk.

```
Li4ZnIn2Pt
1.0
4.499 0.000 0.000
0.000 4.499 0.000
0.000 0.000 6.398
Li Zn In Pt
4 1 2 1
Direct
0.000 0.000 0.000
0.000 0.500 0.244
0.500 0.000 0.756
0.500 0.500 0.500
0.000 0.000 0.500
0.000 0.500 0.756
0.500 0.000 0.244
0.500 0.500 0.000
```

Total magnetic moment (μB/f.u.): 0.007
Final energy (eV per atom): -2.97
SG: P-4m2 (115)

=====

Entry 4:
First-principles (PBE) data for LuCuSiW after structural relaxation, as listed in OQMD via LeMat-Bulk.

```
LuCuSiW
1.0
6.483 0.000 0.000
0.000 6.483 0.000
0.000 0.000 6.483
Lu Cu Si W
4 4 4 4
Direct
0.000 0.000 0.000
0.000 0.500 0.500
0.500 0.000 0.500
0.500 0.500 0.000
0.000 0.000 0.500
0.000 0.500 0.000
0.500 0.000 0.000
0.500 0.500 0.500
0.250 0.250 0.250
0.250 0.750 0.750
0.750 0.250 0.750
0.750 0.750 0.250
0.250 0.250 0.750
0.250 0.750 0.250
0.750 0.250 0.250
0.750 0.750 0.750
```

Total magnetic moment (μB/f.u.): 0.761
Offset from the most stable computed form (meV per atom): 367
SG: F-43m (216)

=====

Entry 5:
First-principles (PBE) data for TbYHg6 after structural relaxation, as listed in OQMD via LeMat-Bulk.

```
TbYHg6
1.0
6.602 0.000 0.000
-3.301 5.718 0.000
0.000 0.000 5.006
Tb Y Hg
1 1 6
Direct
0.000 0.000 0.000
0.333 0.667 0.500
0.334 0.167 0.500
0.500 0.001 0.000
0.500 0.500 0.000
0.833 0.167 0.500
0.833 0.666 0.500
0.999 0.500 0.000
```

Total magnetic moment (μB/f.u.): 0.002
Formation energy (eV/atom): -0.357
SG: P-6m2 (187)

=====

Entry 6:
First-principles (PBE) data for TbTePO after structural relaxation, as listed in OQMD via LeMat-Bulk.

```
TbTePO
1.0
4.048 0.000 0.000
0.000 4.048 0.000
0.000 0.000 10.184
Tb Te P O
2 2 2 2
Direct
0.250 0.250 0.104
0.750 0.750 0.896
0.250 0.750 0.500
0.750 0.250 0.500
0.250 0.250 0.731
0.750 0.750 0.269
0.250 0.750 0.000
0.750 0.250 0.000
```

Total magnetic moment (μB/f.u.): 0.002
Offset from the most stable computed form (meV per atom): 64
SG: P4/nmm (129)

=====

Entry 7:
First-principles (PBE) data for SrZnGe2Ir after structural relaxation, as listed in OQMD via LeMat-Bulk.

```
SrZnGe2Ir
1.0
4.277 0.000 0.000
0.000 4.277 0.000
0.000 0.000 10.930
Sr Zn Ge Ir
2 2 4 2
Direct
0.000 0.000 0.000
0.500 0.500 0.500
0.000 0.500 0.750
0.500 0.000 0.250
0.000 0.000 0.376
0.000 0.000 0.624
0.500 0.500 0.124
0.500 0.500 0.876
0.000 0.500 0.250
0.500 0.000 0.750
```

Total magnetic moment (μB/f.u.): 0.008
Final energy (eV per atom): -4.62
SG: I-4m2 (119)

=====

Entry 8:
First-principles (PBE) data for Tl2InAgBr6 after structural relaxation, as listed in OQMD via LeMat-Bulk.

```
Tl2InAgBr6
1.0
0.000 5.477 5.477
5.477 0.000 5.477
5.477 5.477 0.000
Tl In Ag Br
2 1 1 6
Direct
0.250 0.250 0.250
0.750 0.750 0.750
0.000 0.000 0.000
0.500 0.500 0.500
0.246 0.246 0.754
0.246 0.754 0.246
0.246 0.754 0.754
0.754 0.246 0.246
0.754 0.246 0.754
0.754 0.754 0.246
```

Final energy (eV per atom): -2.73
SG: Fm-3m (225)

=====

Entry 9:
First-principles (PBE) data for DyHgPd after structural relaxation, as listed in OQMD via LeMat-Bulk.

```
DyHgPd
1.0
6.648 0.000 0.000
0.000 6.648 0.000
0.000 0.000 6.648
Dy Hg Pd
4 4 4
Direct
0.000 0.000 0.000
0.000 0.500 0.500
0.500 0.000 0.500
0.500 0.500 0.000
0.000 0.000 0.500
0.000 0.500 0.000
0.500 0.000 0.000
0.500 0.500 0.500
0.250 0.250 0.750
0.250 0.750 0.250
0.750 0.250 0.250
0.750 0.750 0.750
```

Total magnetic moment (μB/f.u.): 0.002
Formation energy (eV/atom): -0.596
SG: F-43m (216)

=====

Entry 10:
First-principles (PBE) data for CsErPtS3 after structural relaxation, as listed in OQMD via LeMat-Bulk.

```
CsErPtS3
1.0
1.961 -8.096 0.000
1.961 8.096 0.000
0.000 0.000 10.093
Cs Er Pt S
2 2 2 6
Direct
0.250 0.750 0.750
0.750 0.250 0.250
0.000 0.000 0.000
0.000 0.000 0.500
0.488 0.512 0.250
0.512 0.488 0.750
0.073 0.927 0.250
0.391 0.609 0.069
0.391 0.609 0.431
0.609 0.391 0.569
0.609 0.391 0.931
0.927 0.073 0.750
```

Total magnetic moment (μB/f.u.): 0.025
Final energy (eV per atom): -5.16
SG: Cmcm (63)

=====

Entry 11:
First-principles (PBE) data for NaHg3OsS4 after structural relaxation, as listed in OQMD via LeMat-Bulk.

```
NaHg3OsS4
1.0
6.281 0.000 0.000
0.000 6.281 0.000
0.000 0.000 6.281
Na Hg Os S
1 3 1 4
Direct
0.000 0.000 0.000
0.000 0.500 0.500
0.500 0.000 0.500
0.500 0.500 0.000
0.500 0.500 0.500
0.269 0.269 0.269
0.269 0.731 0.731
0.731 0.269 0.731
0.731 0.731 0.269
```

Total magnetic moment (μB/f.u.): 3.668
Final energy (eV per atom): -3.07
SG: P-43m (215)

=====

Entry 12:
First-principles (PBE) data for SmYI2O2 after structural relaxation, as listed in OQMD via LeMat-Bulk.

```
SmYI2O2
1.0
3.977 0.000 0.000
0.000 3.977 0.000
0.000 0.000 9.268
Sm Y I O
1 1 2 2
Direct
0.000 0.000 0.000
0.500 0.500 0.758
0.000 0.000 0.553
0.500 0.500 0.205
0.000 0.500 0.874
0.500 0.000 0.874
```

Total magnetic moment (μB/f.u.): 0.002
Final energy (eV per atom): -6.72
SG: P4mm (99)

=====

Entry 13:
First-principles (PBE) data for PmGa3P after structural relaxation, as listed in OQMD via LeMat-Bulk.

```
PmGa3P
1.0
4.791 0.000 0.000
0.000 4.791 0.000
0.000 0.000 4.791
Pm Ga P
1 3 1
Direct
0.000 0.000 0.000
0.000 0.500 0.500
0.500 0.000 0.500
0.500 0.500 0.000
0.500 0.500 0.500
```

Total magnetic moment (μB/f.u.): 0.009
Final energy (eV per atom): -3.82
SG: Pm-3m (221)

=====

Entry 14:
First-principles (PBE) data for NdAlB after structural relaxation, as listed in OQMD via LeMat-Bulk.

```
NdAlB
1.0
6.081 0.000 0.000
0.000 6.081 0.000
0.000 0.000 6.081
Nd Al B
4 4 4
Direct
0.000 0.000 0.000
0.000 0.500 0.500
0.500 0.000 0.500
0.500 0.500 0.000
0.000 0.000 0.500
0.000 0.500 0.000
0.500 0.000 0.000
0.500 0.500 0.500
0.250 0.250 0.750
0.250 0.750 0.250
0.750 0.250 0.250
0.750 0.750 0.750
```

Total magnetic moment (μB/f.u.): 0.007
Offset from the most stable computed form (meV per atom): 0
SG: F-43m (216)

=====

Entry 15:
First-principles (PBE) data for Hf8FeTe6 after structural relaxation, as listed in OQMD via LeMat-Bulk.

```
Hf8FeTe6
1.0
3.736 0.000 0.000
0.000 26.012 0.000
0.000 0.000 7.670
Hf Fe Te
16 2 12
Direct
0.250 0.052 0.059
0.250 0.184 0.259
0.250 0.250 0.926
0.250 0.316 0.259
0.250 0.448 0.059
0.250 0.651 0.058
0.250 0.750 0.459
0.250 0.849 0.058
0.750 0.151 0.942
0.750 0.250 0.541
0.750 0.349 0.942
0.750 0.552 0.941
0.750 0.684 0.741
0.750 0.750 0.074
0.750 0.816 0.741
0.750 0.948 0.941
0.250 0.750 0.804
0.750 0.250 0.196
0.250 0.168 0.648
0.250 0.332 0.648
0.250 0.548 0.223
0.250 0.595 0.700
0.250 0.905 0.700
0.250 0.952 0.223
0.750 0.048 0.777
0.750 0.095 0.300
0.750 0.405 0.300
0.750 0.452 0.777
0.750 0.668 0.352
0.750 0.832 0.352
```

Total magnetic moment (μB/f.u.): 0.002
Final energy (eV per atom): -7.75
SG: Pmmn (59)

=====

Entry 16:
First-principles (PBE) data for NaSmSO after structural relaxation, as listed in OQMD via LeMat-Bulk.

```
NaSmSO
1.0
4.003 0.000 0.000
0.000 4.003 0.000
0.000 0.000 9.289
Na Sm S O
2 2 2 2
Direct
0.250 0.750 0.000
0.750 0.250 0.000
0.250 0.250 0.377
0.750 0.750 0.623
0.250 0.250 0.802
0.750 0.750 0.198
0.250 0.750 0.500
0.750 0.250 0.500
```

Total magnetic moment (μB/f.u.): 0.001
Offset from the most stable computed form (meV per atom): 34
SG: P4/nmm (129)

=====

Entry 17:
First-principles (PBE) data for YMg6Cd after structural relaxation, as listed in OQMD via LeMat-Bulk.

```
YMg6Cd
1.0
6.599 0.000 0.000
-3.300 5.715 0.000
0.000 0.000 5.115
Y Mg Cd
1 6 1
Direct
0.000 0.000 0.000
0.339 0.169 0.500
0.503 0.006 0.000
0.503 0.497 0.000
0.831 0.169 0.500
0.831 0.661 0.500
0.994 0.497 0.000
0.333 0.667 0.500
```

Total magnetic moment (μB/f.u.): 0.015
Final energy (eV per atom): -2.10
SG: P-6m2 (187)

=====

Entry 18:
First-principles (PBE) data for Nb4AsC2S after structural relaxation, as listed in OQMD via LeMat-Bulk.

```
Nb4AsC2S
1.0
3.326 0.000 0.000
-1.663 2.881 0.000
0.000 0.000 11.897
Nb As C S
4 1 2 1
Direct
0.000 0.000 0.151
0.000 0.000 0.849
0.667 0.333 0.341
0.667 0.333 0.659
0.000 0.000 0.500
0.333 0.667 0.246
0.333 0.667 0.754
0.667 0.333 0.000
```

Total magnetic moment (μB/f.u.): 0.001
Final energy (eV per atom): -9.14
SG: P-6m2 (187)

=====

Entry 19:
First-principles (PBE) data for TlTcSn after structural relaxation, as listed in OQMD via LeMat-Bulk.

```
TlTcSn
1.0
6.512 0.000 0.000
0.000 6.512 0.000
0.000 0.000 6.512
Tl Tc Sn
4 4 4
Direct
0.000 0.000 0.000
0.000 0.500 0.500
0.500 0.000 0.500
0.500 0.500 0.000
0.250 0.250 0.750
0.250 0.750 0.250
0.750 0.250 0.250
0.750 0.750 0.750
0.000 0.000 0.500
0.000 0.500 0.000
0.500 0.000 0.000
0.500 0.500 0.500
```

Total magnetic moment (μB/f.u.): 0.015
Offset from the most stable computed form (meV per atom): 0
SG: F-43m (216)

=====

Entry 20:
First-principles (PBE) data for MgCu2Bi after structural relaxation, as listed in OQMD via LeMat-Bulk.

```
MgCu2Bi
1.0
6.651 0.000 0.000
0.000 6.651 0.000
0.000 0.000 6.651
Mg Cu Bi
4 8 4
Direct
0.000 0.000 0.000
0.000 0.500 0.500
0.500 0.000 0.500
0.500 0.500 0.000
0.000 0.000 0.500
0.000 0.500 0.000
0.250 0.250 0.250
0.250 0.750 0.750
0.500 0.000 0.000
0.500 0.500 0.500
0.750 0.250 0.750
0.750 0.750 0.250
0.250 0.250 0.750
0.250 0.750 0.250
0.750 0.250 0.250
0.750 0.750 0.750
```

Final energy (eV per atom): -3.05
SG: F-43m (216)

=====

Entry 21:
First-principles (PBE) data for SmScCo after structural relaxation, as listed in OQMD via LeMat-Bulk.

```
SmScCo
1.0
6.424 0.000 0.000
0.000 6.424 0.000
0.000 0.000 6.424
Sm Sc Co
4 4 4
Direct
0.000 0.000 0.000
0.000 0.500 0.500
0.500 0.000 0.500
0.500 0.500 0.000
0.250 0.250 0.250
0.250 0.750 0.750
0.750 0.250 0.750
0.750 0.750 0.250
0.250 0.250 0.750
0.250 0.750 0.250
0.750 0.250 0.250
0.750 0.750 0.750
```

Total magnetic moment (μB/f.u.): 0.002
Offset from the most stable computed form (meV per atom): 162
Formation energy (eV/atom): 0.800
SG: F-43m (216)

=====

Entry 22:
First-principles (PBE) data for MgBPt after structural relaxation, as listed in OQMD via LeMat-Bulk.

```
MgBPt
1.0
5.444 0.000 0.000
0.000 5.444 0.000
0.000 0.000 5.444
Mg B Pt
4 4 4
Direct
0.000 0.000 0.000
0.000 0.500 0.500
0.500 0.000 0.500
0.500 0.500 0.000
0.250 0.250 0.250
0.250 0.750 0.750
0.750 0.250 0.750
0.750 0.750 0.250
0.000 0.000 0.500
0.000 0.500 0.000
0.500 0.000 0.000
0.500 0.500 0.500
```

Total magnetic moment (μB/f.u.): 0.000
Final energy (eV per atom): -4.90
SG: F-43m (216)

=====

Entry 23:
First-principles (PBE) data for ErCuAu4 after structural relaxation, as listed in OQMD via LeMat-Bulk.

```
ErCuAu4
1.0
0.000 3.884 3.884
3.884 0.000 3.884
3.884 3.884 0.000
Er Cu Au
1 1 4
Direct
0.000 0.000 0.000
0.250 0.250 0.250
0.126 0.625 0.625
0.625 0.126 0.625
0.625 0.625 0.126
0.625 0.625 0.625
```

Total magnetic moment (μB/f.u.): 0.001
Offset from the most stable computed form (meV per atom): 97
Formation energy (eV/atom): -0.299
SG: F-43m (216)

=====

Entry 24:
First-principles (PBE) data for Ni2Sn3As2 after structural relaxation, as listed in OQMD via LeMat-Bulk.

```
Ni2Sn3As2
1.0
2.030 1.172 10.419
-2.030 1.172 10.419
0.000 -2.344 10.419
Ni Sn As
2 3 2
Direct
0.000 0.000 0.000
0.456 0.456 0.456
0.086 0.086 0.086
0.295 0.295 0.295
0.832 0.832 0.832
0.210 0.210 0.210
0.688 0.688 0.688
```

Total magnetic moment (μB/f.u.): 0.006
Final energy (eV per atom): -4.66
SG: R3m (160)

=====

Entry 25:
First-principles (PBE) data for NdScCuSe3 after structural relaxation, as listed in OQMD via LeMat-Bulk.

```
NdScCuSe3
1.0
1.963 -6.593 0.000
1.963 6.593 0.000
0.000 0.000 10.065
Nd Sc Cu Se
2 2 2 6
Direct
0.234 0.766 0.750
0.766 0.234 0.250
0.000 0.000 0.000
0.000 0.000 0.500
0.475 0.525 0.250
0.525 0.475 0.750
0.089 0.911 0.250
0.360 0.640 0.060
0.360 0.640 0.440
0.640 0.360 0.560
0.640 0.360 0.940
0.911 0.089 0.750
```

Total magnetic moment (μB/f.u.): 0.018
Final energy (eV per atom): -5.57
SG: Cmcm (63)